Run A
Entry from Alexandria via LeMat-Bulk: a relaxed structure of Na2Tl2Pb (GGA-PBE).

Lattice parameters (Å, degrees): 5.2157 3.4178 8.5942 90.00 107.59 90.00
Last column: nearest neighbours and their distance in Å.
Space group P2/m (No. 10)
Unique sites:
Na 0.1053 0.0000 0.2100 [2 per cell]  3 Na 3.42-3.44, 6 Tl 3.46-3.66, 4 Pb 3.56
Tl 0.3009 0.5000 0.6044 [2 per cell]  4 Tl 3.11-3.42, 1 Pb 3.24, 4 Na 3.46-3.47
Pb 0.5000 0.5000 0.0000 [1 per cell]  2 Tl 3.24, 2 Pb 3.42, 8 Na 3.56

For the magnetization, the calculation gives 0.0 μB per cell. The calculation puts the calculated volume at 29.21 A^3/atom.

---

Run B
Entry from Alexandria via LeMat-Bulk: a relaxed structure of Na2Tl2Pb (GGA-PBE).

Lattice parameters (Å, degrees): 10.6858 4.9674 7.5961 90.00 134.30 90.00
Last column: nearest neighbours and their distance in Å.
Space group C2/m (No. 12)
Unique sites:
Na 0.2060 0.0000 0.3016 [4 per cell]  6 Tl 3.34-3.48, 3 Pb 3.42-3.43, 3 Na 3.49
Tl 0.0967 0.5000 0.8972 [4 per cell]  6 Na 3.34-3.48, 3 Tl 3.35-3.49, 3 Pb 3.46
Pb 0.0000 0.0000 0.5000 [2 per cell]  6 Na 3.42-3.43, 6 Tl 3.46

For the magnetization, the calculation gives 0.0 μB per cell. The calculation puts the calculated volume at 28.86 A^3/atom.

---

Run C
Entry from Alexandria via LeMat-Bulk: a relaxed structure of Na2Tl2Pb (GGA-PBE).

Lattice parameters (Å, degrees): 8.5966 8.5966 3.9949 90.00 90.00 90.00
Last column: nearest neighbours and their distance in Å.
Space group P4/mbm (No. 127)
Unique sites:
Na 0.1672 0.3328 0.0000 [4 per cell]  6 Tl 3.14-3.28
Tl 0.1337 0.6337 0.5000 [4 per cell]  6 Na 3.14-3.28, 1 Tl 3.25, 2 Pb 3.35
Pb 0.0000 0.0000 0.5000 [2 per cell]  4 Tl 3.35

For the magnetization, the calculation gives 0.0 μB per cell. The calculation puts the calculated volume at 29.52 A^3/atom.

---

Run D
Entry from Alexandria via LeMat-Bulk: a relaxed structure of Na2Tl2Pb (GGA-PBE).

Lattice parameters (Å, degrees): 8.7734 8.7734 3.7653 90.00 90.00 90.00
Last column: nearest neighbours and their distance in Å.
Space group P4/mbm (No. 127)
Unique sites:
Na 0.1352 0.3648 0.0000 [4 per cell]  6 Tl 3.12-3.24, 1 Na 3.35, 2 Pb 3.41
Tl 0.1644 0.6644 0.5000 [4 per cell]  6 Na 3.12-3.24
Pb 0.0000 0.0000 0.0000 [2 per cell]  4 Na 3.41, 2 Pb 3.77, 8 Tl 3.78

For the magnetization, the calculation gives 0.0 μB per cell. The calculation puts the calculated volume at 28.98 A^3/atom.

---

Relative energies, unit eV/atom: run A 0.010; run B 0.000; run C 0.045; run D 0.081

---

Run A
Entry from Alexandria via LeMat-Bulk: a relaxed structure of NaTl6Pb3 (GGA-PBE).

Lattice parameters (Å, degrees): 6.0227 6.0227 10.7020 90.00 90.00 120.00
Last column: nearest neighbours and their distance in Å.
Space group P-31m (No. 162)
Unique sites:
Na 0.0000 0.0000 0.0000 [1 per cell]  6 Tl 3.20
Tl 0.0000 0.3454 0.7728 [6 per cell]  1 Na 3.20, 4 Tl 3.42, 2 Pb 3.52
Pb 0.0000 0.0000 0.5000 [1 per cell]  6 Pb 3.48, 6 Tl 3.58
Pb 0.3333 0.6667 0.5000 [2 per cell]  6 Pb 3.48, 6 Tl 3.52

For the magnetization, the calculation gives 0.0 μB per cell. The calculation puts the calculated volume at 33.62 A^3/atom.

---

Run B
Entry from Alexandria via LeMat-Bulk: a relaxed structure of NaTl6Pb3 (GGA-PBE).

Lattice parameters (Å, degrees): 5.4232 11.3113 10.4772 90.00 90.06 90.00
Last column: nearest neighbours and their distance in Å.
Space group P2_1/c (No. 14)
Unique sites:
Na 0.0000 0.0000 0.0000 [2 per cell]  4 Pb 3.30, 4 Tl 3.62-3.63
Tl 0.0003 0.0873 0.3331 [4 per cell]  5 Tl 3.26-3.58, 4 Pb 3.29-3.38, 1 Na 3.63
Tl 0.0015 0.2005 0.6230 [4 per cell]  3 Tl 3.26-3.30, 1 Na 3.62
Tl 0.4983 0.7103 0.6265 [4 per cell]  4 Pb 3.28-3.53, 2 Tl 3.57-3.58
Pb 0.5000 0.0000 0.5000 [2 per cell]  10 Tl 3.37-3.77, 2 Pb 3.72
Pb 0.5002 0.0814 0.1560 [4 per cell]  5 Tl 3.28-3.31, 2 Na 3.30

For the magnetization, the calculation gives 0.0 μB per cell. The calculation puts the calculated volume at 32.14 A^3/atom.

---

Relative energies, unit eV/atom: run A 0.000; run B 0.022